Entry 1:
Computed, not measured: a geometry-optimized Rb2ScB2S6 structure at the GGA-PBE level of DFT.

abc: 11.4371 6.6019 8.3077
angles: 90.00 117.26 90.00
Last column: nearest neighbours and their distance in Å.
Space group C2/m (No. 12)
Inequivalent atoms, fractional coordinates:
Rb  0.2143  0.0000  0.1424 (multiplicity 4)  9 S 3.45-3.69
Sc  0.0000  0.0000  0.5000 (multiplicity 2)  6 S 2.60
B  0.0988  0.5000  0.2956 (multiplicity 4)  3 S 1.82
S  0.0133  0.2626  0.2765 (multiplicity 8)  1 B 1.82
S  0.2495  0.0000  0.7238 (multiplicity 4)  1 B 1.82

Entry 2:
Computed, not measured: a geometry-optimized RbSi2BS6 structure at the GGA-PBE level of DFT.

abc: 12.3583 13.1505 6.5349
angles: 90.00 117.83 90.00
Last column: nearest neighbours and their distance in Å.
Space group C2/c (No. 15)
Inequivalent atoms, fractional coordinates:
Rb  0.0000  0.1059  0.2500 (multiplicity 4)  10 S 3.34-3.73, 2 B 3.74
Si  0.1983  0.4143  0.1289 (multiplicity 8)  4 S 2.15-2.23
B  0.0000  0.2443  0.7500 (multiplicity 4)  4 S 1.88-2.04
S  0.0386  0.3206  0.0182 (multiplicity 8)  1 B 1.88
S  0.1256  0.1305  0.8321 (multiplicity 8)  1 B 2.04, 1 Si 2.15
S  0.1901  0.4416  0.4577 (multiplicity 8)  2 Si 2.18-2.23

Entry 3:
Computed, not measured: a geometry-optimized Rb2SmB2S6 structure at the GGA-PBE level of DFT.

abc: 11.8821 6.7147 8.6160
angles: 90.00 118.21 90.00
Last column: nearest neighbours and their distance in Å.
Space group C2/m (No. 12)
Inequivalent atoms, fractional coordinates:
Rb  0.2033  0.0000  0.1752 (multiplicity 4)  8 S 3.43-3.66
Sm  0.0000  0.0000  0.5000 (multiplicity 2)  6 S 2.75-2.81
B  0.0706  0.5000  0.2824 (multiplicity 4)  3 S 1.80-1.82
S  0.0202  0.2700  0.7608 (multiplicity 8)  1 B 1.82
S  0.2371  0.5000  0.3388 (multiplicity 4)  1 B 1.80

Entry 4:
Computed, not measured: a geometry-optimized RbSm2B2S6 structure at the GGA-PBE level of DFT.

abc: 7.1375 7.4399 7.4620
angles: 115.52 90.04 118.62
Last column: nearest neighbours and their distance in Å.
Space group P-1 (No. 2)
Inequivalent atoms, fractional coordinates:
Rb  0.0000  0.0000  0.0000 (multiplicity 1)  8 S 3.87-4.02, 2 B 4.00, 4 Sm 4.29
Sm  0.3298  0.6596  0.6699 (multiplicity 2)  6 S 2.77-2.87
B  0.3497  0.7002  0.2583 (multiplicity 2)  3 S 1.82-1.84
S  0.1030  0.6435  0.3515 (multiplicity 2)  1 B 1.82
S  0.4264  0.8541  0.1081 (multiplicity 2)  1 B 1.84
S  0.4605  0.3571  0.6489 (multiplicity 2)  1 B 1.82

| no. | total moment (μB/cell) | formation energy (no corrections) (eV per atom) |
| --- | --- | --- |
| 1 | 0.00 | -0.9119 |
| 2 | 0.00 | -0.5205 |
| 3 | 0.00 | -0.9627 |
| 4 | 0.00 | -1.0797 |